Compound: PmPr3Se6
Source: Alexandria
Functional: PBE-GGA
Structure: optimized geometry

POSCAR file:
```
PmPr3Se6
1.0
8.712 0.006 0.006
-0.183 8.711 0.006
-0.183 -0.187 8.709
Pr Pm Se
6 2 12
direct
0.753 0.432 0.923 Pr
0.568 0.077 0.247 Pr
0.247 0.568 0.077 Pr
0.432 0.923 0.753 Pr
0.923 0.753 0.432 Pr
0.077 0.247 0.568 Pr
0.500 0.500 0.500 Pm
0.000 0.000 0.000 Pm
0.314 0.910 0.081 Se
0.408 0.182 0.537 Se
0.463 0.592 0.818 Se
0.818 0.463 0.592 Se
0.919 0.686 0.090 Se
0.686 0.090 0.919 Se
0.910 0.081 0.314 Se
0.090 0.919 0.686 Se
0.182 0.537 0.408 Se
0.537 0.408 0.182 Se
0.592 0.818 0.463 Se
0.081 0.314 0.910 Se
```

Calculated values
Size of the total moment, Bohr magnetons per cell: 0.0
Mass density, g cm⁻³: 5.23
Space-group type: R-3 (148)
Raw formation energy, kJ/mol of atoms: -179.0
Total energy, eV per atom: -5.855